1.
A relaxed structure of CdH5Os, computed with PBE-GGA.

POSCAR file:
```
CdH5Os
1.0
-0.852 2.656 -4.563
0.032 -1.723 -5.063
-5.402 -1.343 2.208
Cd H Os
2 10 2
Cartesian
-5.402 -1.343 2.208
-3.111 -0.205 -3.709
-4.894 -0.203 -2.259
-3.522 -0.213 -6.499
-2.433 1.657 -3.228
-4.109 -1.506 -0.834
-5.718 -0.864 -4.681
-0.504 0.455 -2.737
-2.113 1.096 -6.584
-3.790 -2.067 -4.190
-2.700 -0.197 -0.919
-1.329 -0.207 -5.158
-4.436 0.111 -0.650
-1.787 -0.521 -6.768
```

Summary:
The uncorrected energy comes out at -0.1465 hartree per atom. Its total moment is 0.0 Bohr magnetons per cell.

=====

2.
A relaxed structure of Sm3InH, computed with PBE-GGA.

POSCAR file:
```
Sm3InH
1.0
4.952 0.000 0.000
0.000 4.952 0.000
0.000 0.000 4.952
H Sm In
1 3 1
Cartesian
0.000 0.000 0.000
0.000 2.476 0.000
0.000 0.000 2.476
2.476 0.000 0.000
2.476 2.476 2.476
```

Summary:
The uncorrected energy comes out at -0.1621 hartree per atom. Its total moment is 1.2 Bohr magnetons per cell.

=====

3.
A relaxed structure of NbZn2B2, computed with PBE-GGA.

POSCAR file:
```
NbZn2B2
1.0
-0.769 4.697 -4.700
0.322 -4.699 -4.749
-2.641 -0.307 0.125
Nb B Zn
2 4 4
Cartesian
0.000 0.000 0.000
-0.224 -0.001 -4.724
-1.240 -2.503 -4.014
-1.580 -0.812 -7.028
-1.848 2.194 -5.310
-1.509 0.503 -2.296
-0.007 -2.350 -5.925
-0.472 1.180 -7.080
-0.440 2.348 -3.524
0.025 -1.182 -2.368
```

Summary:
The uncorrected energy comes out at -0.1650 hartree per atom. Its total moment is 0.0 Bohr magnetons per cell.

=====

4.
A relaxed structure of TaV5Ge2, computed with PBE-GGA.

POSCAR file:
```
TaV5Ge2
1.0
3.221 0.000 0.000
1.610 6.104 -0.336
1.610 1.516 5.922
Ta V Ge
1 5 2
Cartesian
0.000 0.000 0.000
1.610 3.810 2.793
3.221 3.580 0.775
3.221 4.040 4.811
3.221 5.804 2.405
3.221 1.816 3.181
4.831 5.897 4.323
1.610 1.723 1.263
```

Summary:
The uncorrected energy comes out at -0.3111 hartree per atom. Its total moment is 0.0 Bohr magnetons per cell.